A relaxed PrMgAgBi crystal, computed with GGA-PBE.

The structure in POSCAR format:
```
PrMgAgBi
1.0
-3.8767 -3.3299 1.5323
-0.0616 -5.0259 -1.7893
1.1010 -4.0277 3.3211
Bi Mg Ag Pr
1 1 1 1
Direct
0.7500 0.7500 0.7500
0.0000 0.0000 0.0000
0.2500 0.2500 0.2500
0.5000 0.5000 0.5000
```

- space group = F-43m (216)
- total DFT energy (no corrections) (eV/atom) = -3.572
- formation energy (meV per atom) = -295
- crystal system = cubic